No. 1
Compound: LiYMo2O8
Source: Alexandria
Functional: GGA-PBEsol
Structure: relaxed

**Energy relative to the elements, uncorrected**: -2.43 eV per atom
**Density of states at the Fermi level**: 0.00 states/eV per cell

a b c (Å): 5.103 5.103 10.956
angles (deg): 90.00 90.00 90.00
Space group I-4 (No. 82)
Asymmetric unit:
Li 0.000 0.000 0.000
Y 0.000 0.500 0.750
Mo 0.000 0.000 0.500
Mo 0.000 0.500 0.250
O 0.156 0.244 0.590
O 0.161 0.748 0.164

No. 2
Compound: LaReBr2
Source: Alexandria
Functional: GGA-PBEsol
Structure: relaxed

**Energy relative to the elements, uncorrected**: 0.15 eV per atom
**Density of states at the Fermi level**: 2.82 states/eV per cell
**Energy above the most stable polymorph in this dataset**: 0.2432 eV per atom

a b c (Å): 4.620 4.620 3.826
angles (deg): 90.00 90.00 90.00
Space group P4/mmm (No. 123)
Asymmetric unit:
La 0.000 0.000 0.000
Re 0.500 0.500 0.000
Br 0.000 0.500 0.500

No. 3
Compound: TcRu
Source: Alexandria
Functional: GGA-PBEsol
Structure: relaxed

**Density of states at the Fermi level**: 3.77 states/eV per cell
**Energy above the most stable polymorph in this dataset**: 0.0000 eV per atom
**DFT formation energy**: -0.074 eV/atom

a b c (Å): 4.282 2.708 4.681
angles (deg): 90.00 90.00 90.00
Space group Pmma (No. 51)
Asymmetric unit:
Tc 0.250 0.000 0.167
Ru 0.250 0.500 0.671

No. 4
Compound: Y4CdP
Source: Alexandria
Functional: GGA-PBEsol
Structure: relaxed

**Density of states at the Fermi level**: 29.34 states/eV per cell
**DFT formation energy**: 0.393 eV/atom

a b c (Å): 8.585 8.585 8.585
angles (deg): 90.00 90.00 90.00
Space group F-43m (No. 216)
Asymmetric unit:
Y 0.125 0.125 0.125
Cd 0.250 0.250 0.750
P 0.000 0.000 0.500

| no. | total DFT energy (no corrections) (eV per formula unit) |
| --- | --- |
| 1 | -103.52 |
| 2 | -21.84 |
| 3 | -21.59 |
| 4 | -31.92 |